SrTcC2 | PBE | relaxed

energy above the most stable polymorph in this dataset: 1347 meV per atom

a = 4.1971 Å, b = 4.1971 Å, c = 4.1971 Å
α = 60.00°, β = 60.00°, γ = 60.00°
Atoms (fractional coordinates):
1 Sr 0.0000 0.0000 0.0000
2 Tc 0.5000 0.5000 0.5000
3 C 0.2500 0.2500 0.2500
4 C 0.7500 0.7500 0.7500

=====

TbHfCd | PBE | relaxed

energy above the most stable polymorph in this dataset: 134 meV per atom

a = 3.2813 Å, b = 3.2813 Å, c = 16.1195 Å
α = 90.00°, β = 90.00°, γ = 120.00°
Atoms (fractional coordinates):
1 Tb 0.0000 0.0000 0.1775
2 Tb 0.0000 0.0000 0.8225
3 Hf 0.6667 0.3333 0.3395
4 Hf 0.6667 0.3333 0.6605
5 Cd 0.0000 0.0000 0.5000
6 Cd 0.6667 0.3333 0.0000

=====

Result set for formation energy: 1.7252 0.0634 eV per atom, one per record in the order listed.
Result set for electronic total energy: -5.90 -5.10 eV per atom, one per record in the order listed.
Result set for magnetic moment: 0.19 0.00 μB per atom, one per record in the order listed.